1.
Compound: UInGe2
Source: the Alexandria database
Functional: PBE-GGA
Structure: relaxed

Structure (CIF):
```
data_UInGe2
_space_group_name_H-M_alt 'R -3 m'
_space_group_IT_number 166
_space_group_name_Hall '-R 3 2"'
_cell_length_a 4.4845
_cell_length_b 4.4845
_cell_length_c 22.6907
_cell_angle_alpha 90.00
_cell_angle_beta 90.00
_cell_angle_gamma 120.00
loop_
_atom_site_label
_atom_site_fract_x
_atom_site_fract_y
_atom_site_fract_z
U1 0.0000 0.0000 0.0000
In1 0.0000 0.0000 0.5000
Ge1 0.0000 0.0000 0.3860
```

Values from the calculation:
For the formation enthalpy at 0 K, the calculation gives 2.2 eV per formula unit.

2.
Compound: HoHPt3
Source: the Alexandria database
Functional: PBE-GGA
Structure: relaxed

Structure (CIF):
```
data_HoHPt3
_space_group_name_H-M_alt 'R 3 m'
_space_group_IT_number 160
_space_group_name_Hall 'R 3 -2"'
_cell_length_a 5.9402
_cell_length_b 5.9402
_cell_length_c 7.2069
_cell_angle_alpha 90.00
_cell_angle_beta 90.00
_cell_angle_gamma 120.00
loop_
_atom_site_label
_atom_site_fract_x
_atom_site_fract_y
_atom_site_fract_z
Ho1 0.0000 0.0000 0.0000
H1 0.0000 0.0000 0.6654
Pt1 0.0155 0.5078 0.0013
```

Values from the calculation:
The calculation puts the uncorrected energy at -0.4444 Ry/atom.

3.
Compound: CsNaZn3
Source: the Alexandria database
Functional: PBE-GGA
Structure: relaxed

Structure (CIF):
```
data_CsNaZn3
_space_group_name_H-M_alt 'P m -3 m'
_space_group_IT_number 221
_space_group_name_Hall '-P 4 2 3'
_cell_length_a 5.748
_cell_length_b 5.748
_cell_length_c 5.748
_cell_angle_alpha 90.00
_cell_angle_beta 90.00
_cell_angle_gamma 90.00
loop_
_atom_site_label
_atom_site_fract_x
_atom_site_fract_y
_atom_site_fract_z
Cs1 0.000 0.000 0.000
Na1 0.500 0.500 0.500
Zn1 0.000 0.500 0.500
```

Values from the calculation:
For the formation enthalpy at 0 K, the calculation gives 1.8 eV per formula unit.

4.
Compound: KPmSm2Te4
Source: the Alexandria database
Functional: PBE-GGA
Structure: relaxed

Structure (CIF):
```
data_KPmSm2Te4
_space_group_name_H-M_alt 'P 1 2/m 1'
_space_group_IT_number 10
_space_group_name_Hall '-P 2y'
_cell_length_a 7.906
_cell_length_b 4.472
_cell_length_c 7.911
_cell_angle_alpha 90.00
_cell_angle_beta 108.52
_cell_angle_gamma 90.00
loop_
_atom_site_label
_atom_site_fract_x
_atom_site_fract_y
_atom_site_fract_z
K1 0.000 0.000 0.000
Pm1 0.500 0.500 0.000
Sm1 0.000 0.500 0.500
Sm2 0.500 0.000 0.500
Te1 0.254 0.000 0.744
Te2 0.263 0.500 0.264
```

Values from the calculation:
For the formation energy (no corrections), the calculation gives -1.371 eV/atom.

5.
Compound: LiTc2Ru
Source: the Alexandria database
Functional: PBE-GGA
Structure: relaxed

Structure (CIF):
```
data_LiTc2Ru
_space_group_name_H-M_alt 'C 1 m 1'
_space_group_IT_number 8
_space_group_name_Hall 'C -2y'
_cell_length_a 8.574
_cell_length_b 2.673
_cell_length_c 4.849
_cell_angle_alpha 90.00
_cell_angle_beta 94.11
_cell_angle_gamma 90.00
loop_
_atom_site_label
_atom_site_fract_x
_atom_site_fract_y
_atom_site_fract_z
Li1 0.000 0.000 0.000
Tc1 0.007 0.500 0.503
Tc2 0.253 0.500 0.245
Ru1 0.249 0.000 0.767
```

Values from the calculation:
For the formation enthalpy at 0 K, the calculation gives 0.9 eV per formula unit.

6.
Compound: Rb2CdAsPt
Source: the Alexandria database
Functional: PBE-GGA
Structure: relaxed

Structure (CIF):
```
data_Rb2CdAsPt
_space_group_name_H-M_alt 'P 4/m m m'
_space_group_IT_number 123
_space_group_name_Hall '-P 4 2'
_cell_length_a 6.686
_cell_length_b 6.686
_cell_length_c 4.621
_cell_angle_alpha 90.00
_cell_angle_beta 90.00
_cell_angle_gamma 90.00
loop_
_atom_site_label
_atom_site_fract_x
_atom_site_fract_y
_atom_site_fract_z
Rb1 0.000 0.500 0.000
Cd1 0.000 0.000 0.500
As1 0.500 0.500 0.500
Pt1 0.500 0.500 0.000
```

Values from the calculation:
For the formation enthalpy at 0 K, the calculation gives -1.0 eV per formula unit.

7.
Compound: ZrTcSnHg2
Source: the Alexandria database
Functional: PBE-GGA
Structure: relaxed

Structure (CIF):
```
data_ZrTcSnHg2
_space_group_name_H-M_alt 'P 4/m m m'
_space_group_IT_number 123
_space_group_name_Hall '-P 4 2'
_cell_length_a 5.433
_cell_length_b 5.433
_cell_length_c 5.510
_cell_angle_alpha 90.00
_cell_angle_beta 90.00
_cell_angle_gamma 90.00
loop_
_atom_site_label
_atom_site_fract_x
_atom_site_fract_y
_atom_site_fract_z
Zr1 0.000 0.000 0.000
Tc1 0.500 0.500 0.500
Sn1 0.000 0.000 0.500
Hg1 0.000 0.500 0.000
```

Values from the calculation:
For the formation enthalpy at 0 K, the calculation gives 6.7 eV per formula unit.

8.
Compound: TlPdS2N
Source: the Alexandria database
Functional: PBE-GGA
Structure: relaxed

Structure (CIF):
```
data_TlPdS2N
_space_group_name_H-M_alt 'P 4/m m m'
_space_group_IT_number 123
_space_group_name_Hall '-P 4 2'
_cell_length_a 5.045
_cell_length_b 5.045
_cell_length_c 3.754
_cell_angle_alpha 90.00
_cell_angle_beta 90.00
_cell_angle_gamma 90.00
loop_
_atom_site_label
_atom_site_fract_x
_atom_site_fract_y
_atom_site_fract_z
Tl1 0.000 0.000 0.000
Pd1 0.500 0.500 0.500
S1 0.000 0.500 0.500
N1 0.500 0.500 0.000
```

Values from the calculation:
For the formation energy (no corrections), the calculation gives 0.655 eV/atom.